Entry from the Alexandria database: CdPt2Rh after structural relaxation (PBE).

Values from the calculation:
Formation enthalpy at 0 K in eV/f.u.: -0.4

Cell lengths 2.828, 4.021, 5.701 Å; angles 90.00, 90.16, 90.00 degrees
Positions (direct):
1 Cd 0.000 0.000 0.000
2 Pt 0.500 0.500 0.264
3 Pt 0.500 0.500 0.736
4 Rh 0.000 0.000 0.500

---

Entry from the Alexandria database: Cd8Pt2Rh after structural relaxation (PBE).

Values from the calculation:
Formation enthalpy at 0 K in eV/f.u.: -2.3

Cell lengths 7.721, 7.721, 7.721 Å; angles 146.34, 121.45, 69.26 degrees
Positions (direct):
1 Cd 0.133 0.350 0.783
2 Cd 0.148 0.148 0.000
3 Cd 0.305 0.000 0.305
4 Cd 0.433 0.650 0.783
5 Cd 0.567 0.350 0.217
6 Cd 0.695 0.000 0.695
7 Cd 0.852 0.852 0.000
8 Cd 0.867 0.650 0.217
9 Pt 0.301 0.801 0.500
10 Pt 0.699 0.199 0.500
11 Rh 0.000 0.500 0.500

---

Entry from the Alexandria database: Cd4PtRh after structural relaxation (PBE).

Values from the calculation:
Formation enthalpy at 0 K in eV/f.u.: -0.9
Polymorph energy (0 for the lowest one) in kcal/mol of atoms: 0.00

Cell lengths 6.369, 6.369, 6.161 Å; angles 104.93, 104.93, 28.08 degrees
Positions (direct):
1 Cd 0.151 0.151 0.334
2 Cd 0.152 0.152 0.826
3 Cd 0.848 0.848 0.174
4 Cd 0.849 0.849 0.666
5 Pt 0.500 0.500 0.000
6 Rh 0.500 0.500 0.500

---

Entry from the Alexandria database: CdPt2Rh after structural relaxation (PBE).

Values from the calculation:
Formation enthalpy at 0 K in eV/f.u.: -0.4

Cell lengths 4.927, 4.927, 4.927 Å; angles 131.97, 131.97, 70.27 degrees
Positions (direct):
1 Cd 0.000 0.000 0.000
2 Pt 0.250 0.750 0.500
3 Pt 0.750 0.250 0.500
4 Rh 0.500 0.500 0.000

---

Entry from the Alexandria database: CdPtRh4 after structural relaxation (PBE).

Values from the calculation:
Formation enthalpy at 0 K in eV/f.u.: 1.5

Cell lengths 5.150, 5.150, 5.150 Å; angles 60.00, 60.00, 60.00 degrees
Positions (direct):
1 Cd 0.000 0.000 0.000
2 Pt 0.250 0.250 0.250
3 Rh 0.125 0.625 0.625
4 Rh 0.625 0.125 0.625
5 Rh 0.625 0.625 0.125
6 Rh 0.625 0.625 0.625

---

Entry from the Alexandria database: Cd2PtRh after structural relaxation (PBE).

Values from the calculation:
Formation enthalpy at 0 K in eV/f.u.: -0.4

Cell lengths 5.724, 5.724, 5.724 Å; angles 149.92, 130.76, 58.79 degrees
Positions (direct):
1 Cd 0.000 0.000 0.000
2 Cd 0.722 0.222 0.500
3 Pt 0.249 0.749 0.500
4 Rh 0.477 0.477 0.000

---

Entry from the Alexandria database: Cd6PtRh after structural relaxation (PBE).

Values from the calculation:
Formation enthalpy at 0 K in eV/f.u.: -0.8

Cell lengths 7.021, 7.021, 7.851 Å; angles 123.37, 123.37, 38.03 degrees
Positions (direct):
1 Cd 0.079 0.079 0.248
2 Cd 0.248 0.248 0.748
3 Cd 0.420 0.420 0.259
4 Cd 0.580 0.580 0.741
5 Cd 0.752 0.752 0.252
6 Cd 0.921 0.921 0.752
7 Pt 0.500 0.500 0.000
8 Rh 0.000 0.000 0.500

---

Entry from the Alexandria database: CdPt4Rh after structural relaxation (PBE).

Values from the calculation:
Formation enthalpy at 0 K in eV/f.u.: 0.4
Polymorph energy (0 for the lowest one) in kcal/mol of atoms: 0.00

Cell lengths 5.271, 5.271, 5.271 Å; angles 60.00, 60.00, 60.00 degrees
Positions (direct):
1 Cd 0.000 0.000 0.000
2 Pt 0.375 0.375 0.375
3 Pt 0.375 0.375 0.874
4 Pt 0.375 0.874 0.375
5 Pt 0.874 0.375 0.375
6 Rh 0.750 0.750 0.750